! GGA-PBE TmLuCoGe, optimized geometry; values from VASP
! Raw total energy = -5.607 eV per atom
! N(E_F) = 0.54 states/eV per atom
! ρ = 10.0 g cm⁻³
! DFT formation energy = -1.714 eV per formula unit
! Symmetry = F-43m, No. 216
&SYSTEM
  ibrav = 0, nat = 4, ntyp = 4
/
ATOMIC_SPECIES
Co 58.93 Co.upf
Ge 72.64 Ge.upf
Lu 174.97 Lu.upf
Tm 168.93 Tm.upf
CELL_PARAMETERS angstrom
-3.021 3.698 0.584
-4.218 -0.666 2.217
-0.730 1.840 4.385
ATOMIC_POSITIONS angstrom
Co -5.977 3.655 5.389
Ge -1.992 1.218 1.796
Lu -3.984 2.436 3.593
Tm 0.000 0.000 0.000

***

! GGA-PBE MgCoGe2, optimized geometry; values from VASP
! Raw total energy = -4.667 eV per atom
! N(E_F) = 0.45 states/eV per atom
! ρ = 6.1 g cm⁻³
! DFT formation energy = -0.732 eV per formula unit
! Symmetry = Pnma, No. 62
&SYSTEM
  ibrav = 0, nat = 32, ntyp = 3
/
ATOMIC_SPECIES
Mg 24.30 Mg.upf
Co 58.93 Co.upf
Ge 72.64 Ge.upf
CELL_PARAMETERS angstrom
5.023 0.000 0.000
0.000 7.179 0.000
0.000 0.000 13.871
ATOMIC_POSITIONS angstrom
Mg 2.405 1.795 1.919
Mg 4.917 5.384 5.016
Mg 2.617 5.384 11.952
Mg 0.106 1.795 8.854
Mg 3.857 1.795 5.418
Mg 1.345 5.384 1.517
Mg 1.166 5.384 8.452
Mg 3.677 1.795 12.354
Co 1.302 1.795 4.465
Co 3.813 5.384 2.471
Co 3.720 5.384 9.406
Co 1.209 1.795 11.400
Co 4.925 1.795 1.006
Co 2.414 5.384 5.930
Co 0.097 5.384 12.865
Co 2.608 1.795 7.941
Ge 4.985 0.338 2.948
Ge 2.473 6.840 3.987
Ge 0.038 3.928 10.922
Ge 2.549 3.251 9.884
Ge 0.038 6.840 10.922
Ge 2.549 0.338 9.884
Ge 4.985 3.251 2.948
Ge 2.473 3.928 3.987
Ge 3.804 3.927 0.490
Ge 1.293 3.252 6.446
Ge 1.218 0.337 13.381
Ge 3.730 6.841 7.425
Ge 1.218 3.252 13.381
Ge 3.730 3.927 7.425
Ge 3.804 6.841 0.490
Ge 1.293 0.337 6.446

***

! GGA-PBE Mg3CoGe, optimized geometry; values from VASP
! Raw total energy = -2.895 eV per atom
! N(E_F) = 0.78 states/eV per atom
! Energy above the lowest structure with this stoichiometry = 0.0 meV per atom
! ρ = 3.1 g cm⁻³
! DFT formation energy = 2.034 eV per formula unit
! Symmetry = Pm-3m, No. 221
&SYSTEM
  ibrav = 0, nat = 5, ntyp = 3
/
ATOMIC_SPECIES
Ge 72.64 Ge.upf
Co 58.93 Co.upf
Mg 24.30 Mg.upf
CELL_PARAMETERS angstrom
4.763 0.000 0.000
0.000 4.763 0.000
0.000 0.000 4.763
ATOMIC_POSITIONS angstrom
Ge 2.381 2.381 2.381
Co 0.000 0.000 0.000
Mg 0.000 2.381 0.000
Mg 0.000 0.000 2.381
Mg 2.381 0.000 0.000

***

! GGA-PBE MgCoGe2, optimized geometry; values from VASP
! Raw total energy = -4.325 eV per atom
! N(E_F) = 0.64 states/eV per atom
! ρ = 5.1 g cm⁻³
! DFT formation energy = 0.634 eV per formula unit
! Symmetry = I-42d, No. 122
&SYSTEM
  ibrav = 0, nat = 8, ntyp = 3
/
ATOMIC_SPECIES
Ge 72.64 Ge.upf
Co 58.93 Co.upf
Mg 24.30 Mg.upf
CELL_PARAMETERS angstrom
-2.672 0.700 3.308
-0.906 -4.210 0.159
4.258 -2.863 6.852
ATOMIC_POSITIONS angstrom
Ge -0.953 -0.743 4.090
Ge 0.398 -3.321 1.936
Ge 1.931 -3.095 6.425
Ge -0.017 -5.587 8.186
Co 0.000 0.000 0.000
Co -0.101 -1.959 5.947
Mg -1.789 -1.755 1.733
Mg 0.781 -4.414 4.372

***

! GGA-PBE MgCo3Ge, optimized geometry; values from VASP
! Raw total energy = -5.493 eV per atom
! N(E_F) = 0.87 states/eV per atom
! Energy above the lowest structure with this stoichiometry = 0.0 meV per atom
! ρ = 6.7 g cm⁻³
! DFT formation energy = 0.062 eV per formula unit
! Symmetry = Imma, No. 74
&SYSTEM
  ibrav = 0, nat = 10, ntyp = 3
/
ATOMIC_SPECIES
Mg 24.30 Mg.upf
Co 58.93 Co.upf
Ge 72.64 Ge.upf
CELL_PARAMETERS angstrom
-3.758 1.684 2.408
-0.487 -7.362 4.389
4.165 4.085 -1.082
ATOMIC_POSITIONS angstrom
Mg 1.025 0.677 1.126
Mg -1.105 -2.270 4.589
Co -2.658 -0.405 3.223
Co -0.779 -1.247 2.019
Co 0.699 -0.346 3.696
Co 2.578 -1.188 2.492
Co 0.683 -4.483 4.202
Co -0.764 2.889 1.513
Ge -0.244 -3.681 2.195
Ge -1.879 0.842 1.204

***

! GGA-PBE Mg3CoGe, optimized geometry; values from VASP
! Raw total energy = -2.644 eV per atom
! N(E_F) = 1.04 states/eV per atom
! Energy above the lowest structure with this stoichiometry = 250.5 meV per atom
! ρ = 2.8 g cm⁻³
! DFT formation energy = 3.286 eV per formula unit
! Symmetry = Pm-3m, No. 221
&SYSTEM
  ibrav = 0, nat = 5, ntyp = 3
/
ATOMIC_SPECIES
Ge 72.64 Ge.upf
Co 58.93 Co.upf
Mg 24.30 Mg.upf
CELL_PARAMETERS angstrom
-0.388 4.433 2.233
1.150 -2.098 4.366
4.828 0.856 -0.860
ATOMIC_POSITIONS angstrom
Ge 0.000 0.000 0.000
Co 2.795 1.595 2.869
Mg 0.575 -1.049 2.183
Mg 2.414 0.428 -0.430
Mg -0.194 2.216 1.116

***

! GGA-PBE MgCoGe, optimized geometry; values from VASP
! Raw total energy = -4.614 eV per atom
! N(E_F) = 0.60 states/eV per atom
! ρ = 5.3 g cm⁻³
! DFT formation energy = -0.525 eV per formula unit
! Symmetry = P2_1/m, No. 11
&SYSTEM
  ibrav = 0, nat = 6, ntyp = 3
/
ATOMIC_SPECIES
Mg 24.30 Mg.upf
Co 58.93 Co.upf
Ge 72.64 Ge.upf
CELL_PARAMETERS angstrom
4.699 0.000 0.007
0.000 4.094 0.000
1.811 0.000 5.095
ATOMIC_POSITIONS angstrom
Mg 3.306 0.552 3.959
Mg 1.409 2.599 2.993
Co 0.707 2.600 0.396
Co 2.199 0.553 1.463
Ge 4.564 0.553 1.419
Ge 3.041 2.601 0.447

***

! GGA-PBE MgCoGe, optimized geometry; values from VASP
! Raw total energy = -4.591 eV per atom
! N(E_F) = 0.52 states/eV per atom
! ρ = 5.6 g cm⁻³
! DFT formation energy = -0.454 eV per formula unit
! Symmetry = C2/m, No. 12
&SYSTEM
  ibrav = 0, nat = 6, ntyp = 3
/
ATOMIC_SPECIES
Mg 24.30 Mg.upf
Co 58.93 Co.upf
Ge 72.64 Ge.upf
CELL_PARAMETERS angstrom
-0.931 4.498 -1.079
-4.122 0.440 -2.254
-3.700 -1.534 3.340
ATOMIC_POSITIONS angstrom
Mg -6.999 2.574 -0.576
Mg -3.877 -0.478 1.483
Co -2.322 0.581 -0.382
Co -4.852 3.053 -2.050
Ge -4.641 0.867 -1.024
Ge -2.532 2.767 -1.407

***

! GGA-PBE Mg2CoGe, optimized geometry; values from VASP
! Raw total energy = -3.630 eV per atom
! N(E_F) = 0.39 states/eV per atom
! ρ = 2.9 g cm⁻³
! DFT formation energy = 0.391 eV per formula unit
! Symmetry = I-42d, No. 122
&SYSTEM
  ibrav = 0, nat = 8, ntyp = 3
/
ATOMIC_SPECIES
Ge 72.64 Ge.upf
Co 58.93 Co.upf
Mg 24.30 Mg.upf
CELL_PARAMETERS angstrom
9.623 0.000 0.000
0.000 9.623 0.000
4.812 4.812 2.200
ATOMIC_POSITIONS angstrom
Ge 0.000 0.000 0.000
Ge 9.623 4.812 1.100
Co 4.812 4.812 0.000
Co 4.812 9.623 1.100
Mg 4.837 2.406 0.550
Mg 4.787 7.217 0.550
Mg 7.217 9.598 1.650
Mg 12.029 9.648 1.650

***

! GGA-PBE MgCoGe, optimized geometry; values from VASP
! Raw total energy = -4.586 eV per atom
! N(E_F) = 0.55 states/eV per atom
! ρ = 5.7 g cm⁻³
! DFT formation energy = -0.439 eV per formula unit
! Symmetry = P-6m2, No. 187
&SYSTEM
  ibrav = 0, nat = 3, ntyp = 3
/
ATOMIC_SPECIES
Ge 72.64 Ge.upf
Co 58.93 Co.upf
Mg 24.30 Mg.upf
CELL_PARAMETERS angstrom
-2.794 -1.100 -0.815
1.792 -2.708 -2.490
-0.747 -0.989 3.900
ATOMIC_POSITIONS angstrom
Ge -0.466 -0.183 -0.136
Co 0.480 -2.318 -0.496
Mg -1.764 -2.295 1.227

***

! GGA-PBE MgCoGe, optimized geometry; values from VASP
! Raw total energy = -4.591 eV per atom
! N(E_F) = 0.74 states/eV per atom
! ρ = 5.8 g cm⁻³
! DFT formation energy = -0.454 eV per formula unit
! Symmetry = I4mm, No. 107
&SYSTEM
  ibrav = 0, nat = 6, ntyp = 3
/
ATOMIC_SPECIES
Mg 24.30 Mg.upf
Co 58.93 Co.upf
Ge 72.64 Ge.upf
CELL_PARAMETERS angstrom
-2.763 1.256 -0.631
-1.365 0.032 6.050
3.548 3.577 -0.807
ATOMIC_POSITIONS angstrom
Mg -2.504 1.299 -0.013
Mg -3.186 1.314 3.011
Co -0.781 2.251 1.960
Co -1.463 2.267 4.985
Ge 0.665 2.566 3.874
Ge 1.347 2.550 0.849

***

! GGA-PBE MgCoGe3, optimized geometry; values from VASP
! Raw total energy = -4.352 eV per atom
! N(E_F) = 0.75 states/eV per atom
! ρ = 5.1 g cm⁻³
! DFT formation energy = 0.794 eV per formula unit
! Symmetry = Pm-3m, No. 221
&SYSTEM
  ibrav = 0, nat = 5, ntyp = 3
/
ATOMIC_SPECIES
Ge 72.64 Ge.upf
Co 58.93 Co.upf
Mg 24.30 Mg.upf
CELL_PARAMETERS angstrom
-3.669 -2.675 -0.738
2.661 -3.044 -2.194
0.787 -2.177 3.975
ATOMIC_POSITIONS angstrom
Ge 1.331 -1.522 -1.097
Ge 0.393 -1.088 1.988
Ge -1.834 -1.338 -0.369
Co 0.000 0.000 0.000
Mg -0.110 -3.948 0.522